Mg16Al12F (PBE, relaxed); calculated density = 2.1 Mg/m³; SG = Cm, No. 8; energy relative to the elements, uncorrected = -127.8 meV/atom
1.0
7.432 5.259 -0.001
-7.432 5.259 -0.001
0.000 5.149 7.469
Mg Al F
16 12 1
Direct
0.517 0.517 0.688 Mg
0.014 0.014 0.974 Mg
0.303 0.303 0.286 Mg
0.992 0.992 0.338 Mg
0.667 0.393 0.993 Mg
0.576 0.285 0.412 Mg
0.002 0.678 0.584 Mg
0.986 0.646 0.998 Mg
0.396 0.993 0.311 Mg
0.711 0.303 0.680 Mg
0.303 0.711 0.680 Mg
0.993 0.396 0.311 Mg
0.646 0.986 0.998 Mg
0.678 0.002 0.584 Mg
0.285 0.576 0.412 Mg
0.393 0.667 0.993 Mg
0.815 0.815 0.816 Al
0.632 0.632 0.174 Al
0.823 0.636 0.354 Al
0.349 0.163 0.004 Al
0.176 0.990 0.627 Al
0.358 0.983 0.812 Al
0.182 0.800 0.181 Al
0.800 0.182 0.181 Al
0.983 0.358 0.812 Al
0.990 0.176 0.627 Al
0.163 0.349 0.004 Al
0.636 0.823 0.354 Al
0.631 0.631 0.813 F

MgAlF3 (PBE, relaxed); offset from the most stable computed form = 465 meV/atom; calculated density = 2.7 Mg/m³; SG = Pm-3m, No. 221; energy relative to the elements, uncorrected = -2074.7 meV/atom
1.0
4.051 0.000 0.000
0.000 4.051 0.000
0.000 0.000 4.051
Mg Al F
1 1 3
Direct
0.500 0.500 0.500 Mg
0.000 0.000 0.000 Al
0.000 0.500 0.000 F
0.000 0.000 0.500 F
0.500 0.000 0.000 F

MgAlF (PBE, relaxed); calculated density = 2.1 Mg/m³; SG = Amm2, No. 38; energy relative to the elements, uncorrected = -1405.6 meV/atom
1.0
2.970 0.000 0.000
-1.485 2.515 0.000
0.000 0.000 14.860
Mg Al F
2 2 2
Direct
0.524 0.048 0.000 Mg
0.366 0.731 0.500 Mg
0.700 0.400 0.333 Al
0.700 0.400 0.667 Al
0.188 0.377 0.923 F
0.188 0.377 0.077 F

MgAlF2 (PBE, relaxed); offset from the most stable computed form = 0 meV/atom; calculated density = 2.1 Mg/m³; SG = R-3m, No. 166; energy relative to the elements, uncorrected = -2325.1 meV/atom
1.0
1.730 0.000 8.967
-0.865 1.498 8.967
-0.865 -1.498 8.967
Mg Al F
1 1 2
Direct
0.500 0.500 0.500 Mg
0.000 0.000 0.000 Al
0.870 0.870 0.870 F
0.130 0.130 0.130 F

The highest calculated density belongs to which entry?
MgAlF3